A relaxed Fe2Cu4F crystal. Source: the Alexandria database, functional PBE with a Hubbard U.

Computed properties:
* VASP energy: -24.99 eV/f.u.
* volume: 104.3 Å³ per cell
* magnetization: 6.57 μB per formula unit

Lattice parameters (Å, degrees): 3.9572 3.9572 7.2263 74.11 74.11 90.00
Fractional positions:
Cu 0.5000 0.0000 0.0000
Cu 0.1841 0.1841 0.6318
Cu 0.0000 0.5000 0.0000
Cu 0.8159 0.8159 0.3682
F 0.0000 0.0000 0.0000
Fe 0.3647 0.3647 0.2705
Fe 0.6353 0.6353 0.7295